[1]
Computed, not measured: a geometry-optimized ZnSe5 structure at the GGA-PBEsol level of DFT.

Output
As for the spin magnetization: 0.003 μB/cell. For the total DFT energy (no corrections), the calculation gives -2.85 eV per atom. The calculation puts the energy relative to the elements, uncorrected at 0.62 eV/atom.

Structure (POSCAR):
```
ZnSe5
1.0
0.0000 3.9466 3.9466
3.9466 0.0000 3.9466
3.9466 3.9466 0.0000
Zn Se
1 5
Direct
0.0000 0.0000 0.0000
0.1253 0.6249 0.6249
0.2500 0.2500 0.2500
0.6249 0.1253 0.6249
0.6249 0.6249 0.1253
0.6249 0.6249 0.6249
```


[2]
Computed, not measured: a geometry-optimized Zn3RuBr structure at the GGA-PBEsol level of DFT.

Output
As for the spin magnetization: 1.304 μB/cell. For the total DFT energy (no corrections), the calculation gives -1.79 eV per atom. The calculation puts the energy relative to the elements, uncorrected at 1.57 eV/atom.

Structure (POSCAR):
```
Zn3RuBr
1.0
4.7123 0.0000 0.0000
0.0000 4.7123 0.0000
0.0000 0.0000 4.7123
Zn Ru Br
3 1 1
Direct
0.0000 0.0000 0.5000
0.0000 0.5000 0.0000
0.5000 0.0000 0.0000
0.5000 0.5000 0.5000
0.0000 0.0000 0.0000
```


[3]
Computed, not measured: a geometry-optimized Cs2Si2Se5 structure at the GGA-PBEsol level of DFT.

Output
As for the spin magnetization: 0.000 μB/cell. For the total DFT energy (no corrections), the calculation gives -4.47 eV per atom. The calculation puts the energy relative to the elements, uncorrected at -0.84 eV/atom.

Structure (POSCAR):
```
Cs2Si2Se5
1.0
8.1557 -8.1436 0.0000
8.1557 8.1436 0.0000
-2.2141 0.0000 9.4141
Cs Si Se
8 8 20
Direct
0.0507 0.2082 0.1234
0.2066 0.4808 0.6312
0.2082 0.0507 0.6234
0.4808 0.2066 0.1312
0.5192 0.7934 0.8688
0.7918 0.9493 0.3766
0.7934 0.5192 0.3688
0.9493 0.7918 0.8766
0.1394 0.7312 0.3835
0.2680 0.5334 0.1098
0.2688 0.8606 0.1165
0.4666 0.7320 0.3902
0.5334 0.2680 0.6098
0.7312 0.1394 0.8835
0.7320 0.4666 0.8902
0.8606 0.2688 0.6165
0.0075 0.7534 0.5252
0.1166 0.5495 0.2430
0.1181 0.8819 0.2500
0.2470 0.3648 0.9666
0.2474 0.6802 0.9703
0.2466 0.9925 0.9748
0.3198 0.7526 0.5297
0.3648 0.2470 0.4666
0.4504 0.5496 0.2500
0.4505 0.8834 0.2570
0.5495 0.1166 0.7430
0.5496 0.4504 0.7500
0.6352 0.7530 0.5334
0.6802 0.2474 0.4703
0.7534 0.0075 0.0252
0.7526 0.3198 0.0297
0.7530 0.6352 0.0334
0.8819 0.1181 0.7500
0.8834 0.4505 0.7570
0.9925 0.2466 0.4748
```


[4]
Computed, not measured: a geometry-optimized CaGaSbTe2 structure at the GGA-PBEsol level of DFT.

Output
As for the spin magnetization: 0.000 μB/cell. For the total DFT energy (no corrections), the calculation gives -3.14 eV per atom. The calculation puts the energy relative to the elements, uncorrected at 0.28 eV/atom.

Structure (POSCAR):
```
CaGaSbTe2
1.0
5.7270 0.0000 0.0000
0.0000 5.7270 0.0000
0.0000 0.0000 5.6367
Ca Ga Sb Te
1 1 1 2
Direct
0.0000 0.0000 0.0000
0.5000 0.5000 0.5000
0.0000 0.0000 0.5000
0.0000 0.5000 0.0000
0.5000 0.0000 0.0000
```


[5]
Computed, not measured: a geometry-optimized GaTe2Br structure at the GGA-PBEsol level of DFT.

Output
As for the spin magnetization: 0.000 μB/cell. For the total DFT energy (no corrections), the calculation gives -3.16 eV per atom. The calculation puts the energy relative to the elements, uncorrected at -0.09 eV/atom.

Structure (POSCAR):
```
GaTe2Br
1.0
2.0618 1.1904 8.5102
-2.0618 1.1904 8.5102
0.0000 -2.3807 8.5102
Ga Te Br
1 2 1
Direct
0.0000 0.0000 0.0000
0.3918 0.3918 0.3918
0.6082 0.6082 0.6082
0.5000 0.5000 0.5000
```


[6]
Computed, not measured: a geometry-optimized YBeCo2 structure at the GGA-PBEsol level of DFT.

Output
The calculation puts the calculated formation energy at 99 meV/atom. As for the spin magnetization: 2.806 μB/cell. For the total DFT energy (no corrections), the calculation gives -6.48 eV per atom.

Structure (POSCAR):
```
YBeCo2
1.0
2.9430 0.0000 0.0000
0.0000 2.9430 0.0000
0.0000 0.0000 6.2846
Y Be Co
1 1 2
Direct
0.0000 0.0000 0.0000
0.5000 0.5000 0.3308
0.0000 0.0000 0.4906
0.5000 0.5000 0.6854
```


[7]
Computed, not measured: a geometry-optimized Sr2YCo structure at the GGA-PBEsol level of DFT.

Output
The calculation puts the calculated formation energy at 643 meV/atom. As for the spin magnetization: 0.496 μB/cell. For the total DFT energy (no corrections), the calculation gives -3.92 eV per atom.

Structure (POSCAR):
```
Sr2YCo
1.0
4.5684 0.0000 0.0000
0.0000 4.5684 0.0000
0.0000 0.0000 5.4186
Sr Y Co
2 1 1
Direct
0.0000 0.5000 0.0000
0.5000 0.0000 0.0000
0.0000 0.0000 0.5000
0.5000 0.5000 0.5000
```


[8]
Computed, not measured: a geometry-optimized Li2BePt structure at the GGA-PBEsol level of DFT.

Output
The calculation puts the calculated formation energy at -409 meV/atom. As for the spin magnetization: 0.000 μB/cell. For the total DFT energy (no corrections), the calculation gives -4.13 eV per atom.

Structure (POSCAR):
```
Li2BePt
1.0
0.0000 2.8442 2.8442
2.8442 0.0000 2.8442
2.8442 2.8442 0.0000
Li Be Pt
2 1 1
Direct
0.0000 0.0000 0.0000
0.2500 0.2500 0.2500
0.5000 0.5000 0.5000
0.7500 0.7500 0.7500
```


[9]
Computed, not measured: a geometry-optimized Tl9BiTe6 structure at the GGA-PBEsol level of DFT.

Output
As for the spin magnetization: 0.000 μB/cell. For the total DFT energy (no corrections), the calculation gives -3.34 eV per atom. The calculation puts the energy relative to the elements, uncorrected at -0.27 eV/atom.

Structure (POSCAR):
```
Tl9BiTe6
1.0
-4.3724 4.3724 6.4956
4.3724 -4.3724 6.4956
4.3724 4.3724 -6.4956
Tl Bi Te
9 1 6
Direct
0.0000 0.0000 0.0000
0.0185 0.8115 0.5100
0.1885 0.6986 0.2070
0.3014 0.5084 0.4900
0.4916 0.9815 0.7930
0.5084 0.0185 0.2070
0.6986 0.4916 0.5100
0.8115 0.3014 0.7930
0.9815 0.1885 0.4900
0.5000 0.5000 0.0000
0.1703 0.6516 0.8218
0.2580 0.2580 0.0000
0.3484 0.1703 0.5187
0.6516 0.8297 0.4813
0.7420 0.7420 0.0000
0.8297 0.3484 0.1782
```


[10]
Computed, not measured: a geometry-optimized CaTePS2 structure at the GGA-PBEsol level of DFT.

Output
As for the spin magnetization: 0.000 μB/cell. For the total DFT energy (no corrections), the calculation gives -4.15 eV per atom. The calculation puts the energy relative to the elements, uncorrected at -0.11 eV/atom.

Structure (POSCAR):
```
CaTePS2
1.0
4.9979 0.0000 0.0000
0.0000 4.9979 0.0000
0.0000 0.0000 5.0455
Ca Te P S
1 1 1 2
Direct
0.0000 0.0000 0.0000
0.5000 0.5000 0.5000
0.5000 0.5000 0.0000
0.0000 0.5000 0.5000
0.5000 0.0000 0.5000
```


[11]
Computed, not measured: a geometry-optimized Ta2TiW structure at the GGA-PBEsol level of DFT.

Output
The calculation puts the calculated formation energy at -21 meV/atom. As for the spin magnetization: 0.002 μB/cell. For the total DFT energy (no corrections), the calculation gives -11.83 eV per atom.

Structure (POSCAR):
```
Ta2TiW
1.0
0.0000 3.2159 3.2159
3.2159 0.0000 3.2159
3.2159 3.2159 0.0000
Ta Ti W
2 1 1
Direct
0.2500 0.2500 0.2500
0.7500 0.7500 0.7500
0.0000 0.0000 0.0000
0.5000 0.5000 0.5000
```


[12]
Computed, not measured: a geometry-optimized Ba3Ta2NiO9 structure at the GGA-PBEsol level of DFT.

Output
As for the spin magnetization: 2.008 μB/cell. For the total DFT energy (no corrections), the calculation gives -8.40 eV per atom. The calculation puts the energy relative to the elements, uncorrected at -2.73 eV/atom.

Structure (POSCAR):
```
Ba3Ta2NiO9
1.0
5.7317 0.0000 0.0000
-2.8658 4.9638 0.0000
0.0000 0.0000 7.0554
Ba Ta Ni O
3 2 1 9
Direct
0.0000 0.0000 0.0000
0.3333 0.6667 0.3396
0.6667 0.3333 0.6604
0.3333 0.6667 0.8229
0.6667 0.3333 0.1771
0.0000 0.0000 0.5000
0.0000 0.5000 0.0000
0.1699 0.3398 0.6734
0.1699 0.8301 0.6734
0.3398 0.1699 0.3266
0.5000 0.0000 0.0000
0.5000 0.5000 0.0000
0.6602 0.8301 0.6734
0.8301 0.1699 0.3266
0.8301 0.6602 0.3266
```